Record 1
Computed, not measured: crystalline YP2Pd2 at its relaxed geometry at the PBE-GGA level of DFT.

a = 4.121 Å, b = 4.121 Å, c = 9.861 Å
α = 90.00°, β = 90.00°, γ = 90.00°
Space group I4/mmm (No. 139)
Symmetry-distinct sites (fractional):
Y  0.000  0.000  0.000 (multiplicity 2)
P  0.000  0.000  0.388 (multiplicity 4)
Pd  0.000  0.500  0.250 (multiplicity 4)

=====

Record 2
Computed, not measured: crystalline ZnPPd5 at its relaxed geometry at the PBE-GGA level of DFT.

a = 3.933 Å, b = 3.933 Å, c = 6.875 Å
α = 90.00°, β = 90.00°, γ = 90.00°
Space group P4/mmm (No. 123)
Symmetry-distinct sites (fractional):
Zn  0.000  0.000  0.000 (multiplicity 1)
P  0.500  0.500  0.500 (multiplicity 1)
Pd  0.000  0.500  0.293 (multiplicity 4)
Pd  0.500  0.500  0.000 (multiplicity 1)

=====

Record 3
Computed, not measured: crystalline Zr5P7Pd9 at its relaxed geometry at the PBE-GGA level of DFT.

a = 3.853 Å, b = 26.556 Å, c = 6.537 Å
α = 90.00°, β = 90.00°, γ = 90.00°
Space group Amm2 (No. 38)
Symmetry-distinct sites (fractional):
Zr  0.000  0.000  0.000 (multiplicity 2)
Zr  0.000  0.089  0.384 (multiplicity 4)
Zr  0.500  0.228  0.804 (multiplicity 4)
P  0.000  0.000  0.599 (multiplicity 2)
P  0.000  0.214  0.090 (multiplicity 4)
P  0.500  0.069  0.099 (multiplicity 4)
P  0.500  0.144  0.596 (multiplicity 4)
Pd  0.000  0.137  0.849 (multiplicity 4)
Pd  0.000  0.196  0.475 (multiplicity 4)
Pd  0.500  0.000  0.355 (multiplicity 2)
Pd  0.500  0.058  0.732 (multiplicity 4)
Pd  0.500  0.159  0.187 (multiplicity 4)

=====

Record 4
Computed, not measured: crystalline PmP5 at its relaxed geometry at the PBE-GGA level of DFT.

a = 5.019 Å, b = 9.548 Å, c = 5.438 Å
α = 90.00°, β = 102.14°, γ = 90.00°
Space group P2_1/m (No. 11)
Symmetry-distinct sites (fractional):
Pm  0.008  0.250  0.348 (multiplicity 2)
P  0.285  0.250  0.898 (multiplicity 2)
P  0.291  0.530  0.403 (multiplicity 4)
P  0.385  0.591  0.047 (multiplicity 4)

=====

Record 5
Computed, not measured: crystalline Pm2P at its relaxed geometry at the PBE-GGA level of DFT.

Results
* polymorph energy (0 for the lowest one): 0 meV/atom

a = 8.606 Å, b = 8.606 Å, c = 8.606 Å
α = 90.00°, β = 90.00°, γ = 90.00°
Space group Fd-3m (No. 227, origin choice 2)
Symmetry-distinct sites (fractional):
Pm  0.000  0.000  0.000 (multiplicity 16)
P  0.125  0.125  0.625 (multiplicity 8)

=====

Record 6
Computed, not measured: crystalline PmPrP2 at its relaxed geometry at the PBE-GGA level of DFT.

a = 4.167 Å, b = 4.167 Å, c = 5.892 Å
α = 90.00°, β = 90.00°, γ = 90.00°
Space group P4/mmm (No. 123)
Symmetry-distinct sites (fractional):
Pm  0.000  0.000  0.000 (multiplicity 1)
Pr  0.500  0.500  0.500 (multiplicity 1)
P  0.000  0.000  0.500 (multiplicity 1)
P  0.500  0.500  0.000 (multiplicity 1)

=====

The records above give, respectively, total DFT energy (no corrections) values of -0.475 -0.378 -0.514 -0.429 -0.344 -0.487 Ry/atom.